Density functional theory data (PBE-GGA) for crystalline Li2SiRu at its relaxed geometry.

Calculated values
ρ ... 4.4 g/cm³
Formation energy from raw total energies ... -0.208 eV per atom
Symmetry ... Cm
Magnetization ... 0.578 μB per cell

Geometry as POSCAR:
```
Li2SiRu
1.0
8.5266 0.0000 0.0000
0.0000 2.9214 0.0000
-1.5534 0.0000 4.3627
Li Si Ru
4 2 2
Direct
0.0000 0.0000 0.0000
0.2439 0.0000 0.8670
0.5000 0.5000 0.0000
0.7439 0.5000 0.8670
0.2485 0.5000 0.4033
0.7485 0.0000 0.4033
0.4775 0.0000 0.4699
0.9775 0.5000 0.4699
```